DyTh4 | Alexandria via LeMat-Bulk | PBE | relaxed; volume = 32.3 Å³ per atom; formation energy = 0.045 eV/atom; space group = P-1, No. 2
1.0
3.5731 0.0000 0.0000
1.7844 3.0966 0.0000
0.0051 2.0184 14.5748
Dy Th
1 4
direct
0.0000 0.0000 0.0000
0.1339 0.7350 0.3999
0.4002 0.2040 0.2016
0.5998 0.7960 0.7984
0.8661 0.2650 0.6001